{"formula": "AsSeCl2", "functional": "PBE", "state": "relaxed", "lattice": [[5.259, -0.001, 0.000], [1.678, 4.984, 0.000], [-3.468, -2.492, 3.069]], "species": ["As", "Se", "Cl", "Cl"], "fractional_positions": [[0.750, 0.250, 0.500], [0.250, 0.750, 0.500], [0.000, 0.000, 0.000], [0.500, 0.500, 0.000]], "raw_formation_energy_ev_per_fu": 2.0, "space_group": "No. 139", "e_above_lowest_polymorph_mev_per_atom": 830, "total_energy_ev_per_atom": -2.45}

{"formula": "NaTiPb2", "functional": "PBE", "state": "relaxed", "lattice": [[-2.681, 2.936, 2.896], [-3.685, -0.153, -3.255], [-6.850, -6.417, 4.340]], "species": ["Pb", "Pb", "Pb", "Pb", "Na", "Na", "Ti", "Ti"], "fractional_positions": [[0.668, 0.125, 0.250], [0.082, 0.625, 0.250], [0.375, 0.332, 0.750], [0.875, 0.918, 0.750], [0.500, 0.500, 0.000], [0.250, 0.750, 0.500], [0.000, 0.000, 0.000], [0.750, 0.250, 0.500]], "e_form_mev_per_atom": 400, "space_group": "No. 122", "total_energy_ev_per_atom": -3.76}

{"formula": "Rb2BaZn3F12", "functional": "PBE", "state": "relaxed", "lattice": [[7.321, -0.186, -0.132], [3.454, 6.458, -0.132], [3.454, 2.010, 6.138]], "species": ["Rb", "Rb", "Ba", "Zn", "Zn", "Zn", "F", "F", "F", "F", "F", "F", "F", "F", "F", "F", "F", "F"], "fractional_positions": [[0.611, 0.611, 0.611], [0.389, 0.389, 0.389], [0.000, 0.000, 0.000], [0.500, 0.000, 0.000], [0.000, 0.500, 0.000], [0.000, 0.000, 0.500], [0.271, 0.271, 0.891], [0.869, 0.869, 0.437], [0.437, 0.869, 0.869], [0.891, 0.271, 0.271], [0.869, 0.437, 0.869], [0.271, 0.891, 0.271], [0.729, 0.729, 0.109], [0.131, 0.131, 0.563], [0.563, 0.131, 0.131], [0.109, 0.729, 0.729], [0.131, 0.563, 0.131], [0.729, 0.109, 0.729]], "raw_formation_energy_ev_per_fu": -44.4, "space_group": "No. 166", "total_energy_ev_per_atom": -4.14}

{"formula": "TlTePbCl", "functional": "PBE", "state": "relaxed", "lattice": [[4.553, -0.001, -0.001], [-2.276, 3.944, 0.000], [-2.275, -1.316, 7.869]], "species": ["Tl", "Te", "Pb", "Cl"], "fractional_positions": [[0.970, 0.383, 0.368], [0.119, 0.957, 0.091], [0.304, 0.550, 0.869], [0.486, 0.141, 0.642]], "raw_formation_energy_ev_per_fu": -2.7, "space_group": "No. 160", "e_above_lowest_polymorph_mev_per_atom": 0, "total_energy_ev_per_atom": -3.43}

{"formula": "TbEuPuTl", "functional": "PBE", "state": "relaxed", "lattice": [[5.525, 0.000, 0.000], [2.763, 4.785, 0.000], [2.763, 1.595, 4.511]], "species": ["Eu", "Tl", "Tb", "Pu"], "fractional_positions": [[0.500, 0.500, 0.500], [0.250, 0.250, 0.250], [0.000, 0.000, 0.000], [0.750, 0.750, 0.750]], "e_form_mev_per_atom": 45, "space_group": "No. 216", "total_energy_ev_per_atom": -7.86}

{"formula": "MnTcNiW", "functional": "PBE", "state": "relaxed", "lattice": [[-3.197, 2.674, 0.928], [-2.260, -0.536, 3.584], [0.407, 2.779, 3.217]], "species": ["Ni", "Mn", "Tc", "W"], "fractional_positions": [[0.500, 0.500, 0.500], [0.250, 0.250, 0.250], [0.750, 0.750, 0.750], [0.000, 0.000, 0.000]], "e_form_mev_per_atom": 137, "space_group": "No. 216", "total_energy_ev_per_atom": -9.43}

{"formula": "Cs2TaBr7", "functional": "PBE", "state": "relaxed", "lattice": [[-3.446, -2.291, 7.448], [-2.303, -10.907, 0.452], [6.714, -2.090, 7.336]], "species": ["Cs", "Cs", "Cs", "Cs", "Ta", "Ta", "Br", "Br", "Br", "Br", "Br", "Br", "Br", "Br", "Br", "Br", "Br", "Br", "Br", "Br"], "fractional_positions": [[0.579, 0.955, 0.727], [0.740, 0.455, 0.227], [0.260, 0.545, 0.773], [0.421, 0.045, 0.273], [0.963, 0.250, 0.750], [0.037, 0.750, 0.250], [0.808, 0.491, 0.822], [0.878, 0.991, 0.322], [0.235, 0.806, 0.985], [0.306, 0.259, 0.578], [0.651, 0.250, 0.750], [0.975, 0.306, 0.485], [0.143, 0.241, 0.922], [0.857, 0.759, 0.078], [0.025, 0.694, 0.515], [0.349, 0.750, 0.250], [0.694, 0.741, 0.422], [0.765, 0.194, 0.015], [0.122, 0.009, 0.678], [0.192, 0.509, 0.178]], "raw_formation_energy_ev_per_fu": -11.9, "space_group": "No. 15", "e_above_lowest_polymorph_mev_per_atom": 0, "total_energy_ev_per_atom": -3.72}

{"formula": "NaCaHg", "functional": "PBE", "state": "relaxed", "lattice": [[-2.129, 3.116, -0.985], [-2.163, -0.462, 3.212], [5.858, 2.159, 1.888]], "species": ["Na", "Ca", "Hg"], "fractional_positions": [[0.637, 0.637, 0.274], [0.926, 0.926, 0.852], [0.287, 0.287, 0.574]], "e_form_mev_per_atom": -255, "space_group": "No. 107", "e_above_lowest_polymorph_mev_per_atom": 20, "total_energy_ev_per_atom": -1.46}